# AcMn7O12

An optimized crystal structure of AcMn7O12 (GGA+U, Alexandria via LeMat-Bulk).

Cell lengths 6.4771, 6.4771, 6.4771 Å; angles 109.47, 109.47, 109.47 degrees
Element x y z (fractional)
Ac: 0.0000 0.0000 0.0000
Mn: 0.0000 0.0000 0.5000
Mn: 0.0000 0.5000 0.0000
Mn: 0.0000 0.5000 0.5000
Mn: 0.5000 0.0000 0.0000
Mn: 0.5000 0.0000 0.5000
Mn: 0.5000 0.5000 0.0000
Mn: 0.5000 0.5000 0.5000
O: 0.1308 0.8185 0.3123
O: 0.1815 0.3123 0.4939
O: 0.1815 0.6877 0.8692
O: 0.3123 0.1308 0.8185
O: 0.3123 0.4939 0.1815
O: 0.4939 0.1815 0.3123
O: 0.5061 0.8185 0.6877
O: 0.6877 0.5061 0.8185
O: 0.6877 0.8692 0.1815
O: 0.8185 0.3123 0.1308
O: 0.8185 0.6877 0.5061
O: 0.8692 0.1815 0.6877

Results
The value obtained for the total moment is 1.000 μB/atom. Its total energy is -7.3796 eV/atom. The space group is No. 204.